# 1
VASP calculation (GGA-PBE) on a geometry-optimized EuInAg2 structure.

Cell lengths 7.211, 7.211, 7.211 Å; angles 90.00, 90.00, 90.00 degrees
Space group Fm-3m (No. 225)
Symmetry-distinct sites (fractional):
1 Eu 0.000 0.000 0.000 x4
2 In 0.000 0.000 0.500 x4
3 Ag 0.250 0.250 0.250 x8

Results
energy relative to the elements = -265 meV per atom

# 2
VASP calculation (GGA-PBE) on a geometry-optimized EuLuInAg structure.

Cell lengths 7.505, 7.505, 7.505 Å; angles 90.00, 90.00, 90.00 degrees
Space group F-43m (No. 216)
Symmetry-distinct sites (fractional):
1 Eu 0.000 0.000 0.000 x4
2 Lu 0.000 0.000 0.500 x4
3 In 0.250 0.250 0.250 x4
4 Ag 0.250 0.250 0.750 x4

Results
energy relative to the elements = -333 meV per atom

# 3
VASP calculation (GGA-PBE) on a geometry-optimized NaEuInAg structure.

Cell lengths 7.385, 7.385, 7.385 Å; angles 90.00, 90.00, 90.00 degrees
Space group F-43m (No. 216)
Symmetry-distinct sites (fractional):
1 Na 0.000 0.000 0.000 x4
2 Eu 0.250 0.250 0.750 x4
3 In 0.250 0.250 0.250 x4
4 Ag 0.000 0.000 0.500 x4

Results
energy relative to the elements = -180 meV per atom

# 4
VASP calculation (GGA-PBE) on a geometry-optimized EuInNiAg structure.

Cell lengths 6.955, 6.955, 6.955 Å; angles 90.00, 90.00, 90.00 degrees
Space group F-43m (No. 216)
Symmetry-distinct sites (fractional):
1 Eu 0.000 0.000 0.000 x4
2 In 0.000 0.000 0.500 x4
3 Ni 0.250 0.250 0.250 x4
4 Ag 0.250 0.250 0.750 x4

Results
energy relative to the elements = -115 meV per atom

# 5
VASP calculation (GGA-PBE) on a geometry-optimized EuInAgPb structure.

Cell lengths 7.510, 7.510, 7.510 Å; angles 90.00, 90.00, 90.00 degrees
Space group F-43m (No. 216)
Symmetry-distinct sites (fractional):
1 Eu 0.000 0.000 0.000 x4
2 In 0.000 0.000 0.500 x4
3 Ag 0.250 0.250 0.750 x4
4 Pb 0.250 0.250 0.250 x4

Results
energy relative to the elements = -250 meV per atom

# 6
VASP calculation (GGA-PBE) on a geometry-optimized EuInAgPd structure.

Cell lengths 7.070, 7.070, 7.070 Å; angles 90.00, 90.00, 90.00 degrees
Space group F-43m (No. 216)
Symmetry-distinct sites (fractional):
1 Eu 0.000 0.000 0.000 x4
2 In 0.000 0.000 0.500 x4
3 Ag 0.250 0.250 0.250 x4
4 Pd 0.250 0.250 0.750 x4

Results
energy relative to the elements = -410 meV per atom

# 7
VASP calculation (GGA-PBE) on a geometry-optimized PmEuInAg structure.

Cell lengths 7.678, 7.678, 7.678 Å; angles 90.00, 90.00, 90.00 degrees
Space group F-43m (No. 216)
Symmetry-distinct sites (fractional):
1 Pm 0.000 0.000 0.000 x4
2 Eu 0.000 0.000 0.500 x4
3 In 0.250 0.250 0.250 x4
4 Ag 0.250 0.250 0.750 x4

Results
energy relative to the elements = -358 meV per atom

# 8
VASP calculation (GGA-PBE) on a geometry-optimized EuPuInAg structure.

Cell lengths 7.631, 7.631, 7.631 Å; angles 90.00, 90.00, 90.00 degrees
Space group F-43m (No. 216)
Symmetry-distinct sites (fractional):
1 Eu 0.000 0.000 0.000 x4
2 Pu 0.000 0.000 0.500 x4
3 In 0.250 0.250 0.750 x4
4 Ag 0.250 0.250 0.250 x4

Results
energy relative to the elements = -113 meV per atom

# 9
VASP calculation (GGA-PBE) on a geometry-optimized EuScInAg structure.

Cell lengths 7.383, 7.383, 7.383 Å; angles 90.00, 90.00, 90.00 degrees
Space group F-43m (No. 216)
Symmetry-distinct sites (fractional):
1 Eu 0.000 0.000 0.000 x4
2 Sc 0.000 0.000 0.500 x4
3 In 0.250 0.250 0.750 x4
4 Ag 0.250 0.250 0.250 x4

Results
energy relative to the elements = -283 meV per atom

# 10
VASP calculation (GGA-PBE) on a geometry-optimized EuInAgSn structure.

Cell lengths 7.424, 7.424, 7.424 Å; angles 90.00, 90.00, 90.00 degrees
Space group F-43m (No. 216)
Symmetry-distinct sites (fractional):
1 Eu 0.000 0.000 0.000 x4
2 In 0.000 0.000 0.500 x4
3 Ag 0.250 0.250 0.250 x4
4 Sn 0.250 0.250 0.750 x4

Results
energy relative to the elements = -288 meV per atom

# 11
VASP calculation (GGA-PBE) on a geometry-optimized EuTmInAg structure.

Cell lengths 7.530, 7.530, 7.530 Å; angles 90.00, 90.00, 90.00 degrees
Space group F-43m (No. 216)
Symmetry-distinct sites (fractional):
1 Eu 0.000 0.000 0.000 x4
2 Tm 0.000 0.000 0.500 x4
3 In 0.250 0.250 0.250 x4
4 Ag 0.250 0.250 0.750 x4

Results
energy relative to the elements = -341 meV per atom

# 12
VASP calculation (GGA-PBE) on a geometry-optimized EuAgIr4 structure.

Cell lengths 7.532, 7.532, 7.532 Å; angles 90.00, 90.00, 90.00 degrees
Space group F-43m (No. 216)
Symmetry-distinct sites (fractional):
1 Eu 0.000 0.000 0.000 x4
2 Ag 0.250 0.250 0.750 x4
3 Ir 0.125 0.125 0.375 x16

Results
energy relative to the elements = -52 meV per atom

So what do the calculations give for final energy? Going down the list: -4.9437; -5.4293; -4.4753; -5.5264; -5.1430; -5.6742; -5.5117; -7.6615; -5.8322; -5.2551; -5.4247; -8.1467 eV per atom.
So what do the calculations give for DOS at the Fermi energy? Going down the list: 18.6; 41.0; 53.4; 44.3; 23.3; 43.5; 44.1; 58.5; 40.3; 5.3; 42.0; 40.6 states/eV per cell.